# 1
The following is a DFT calculation (PBE-GGA) of crystalline NaReAgTeSe2 at its relaxed geometry.

Properties
Uncorrected energy: -108.5 eV/cell

Cell: 3.744 14.371 10.414 Å, 90.00 90.00 90.00°
Space group Cmcm (No. 63)
Asymmetric unit:
Na (0.000, 0.231, 0.250) x4
Re (0.000, 0.000, 0.000) x4
Ag (0.000, 0.439, 0.750) x4
Te (0.000, 0.085, 0.750) x4
Se (0.000, 0.375, 0.523) x8



# 2
The following is a DFT calculation (PBE-GGA) of crystalline NaReAgTe2Se at its relaxed geometry.

Properties
Uncorrected energy: -104.8 eV/cell

Cell: 3.908 14.364 10.318 Å, 90.00 90.00 90.00°
Space group Cmcm (No. 63)
Asymmetric unit:
Na (0.000, 0.243, 0.250) x4
Re (0.000, 0.000, 0.000) x4
Ag (0.000, 0.447, 0.750) x4
Te (0.000, 0.364, 0.516) x8
Se (0.000, 0.070, 0.750) x4



# 3
The following is a DFT calculation (PBE-GGA) of crystalline NaReAgTe3 at its relaxed geometry.

Properties
Uncorrected energy: -102.9 eV/cell

Cell: 3.927 14.623 10.688 Å, 90.00 90.00 90.00°
Space group Cmcm (No. 63)
Asymmetric unit:
Na (0.000, 0.234, 0.250) x4
Re (0.000, 0.000, 0.000) x4
Ag (0.000, 0.442, 0.750) x4
Te (0.000, 0.078, 0.750) x4
Te (0.000, 0.367, 0.520) x8



# 4
The following is a DFT calculation (PBE-GGA) of crystalline NaReAg3Te4 at its relaxed geometry.

Properties
Uncorrected energy: -34.2 eV/cell

Cell: 6.624 6.624 6.624 Å, 90.00 90.00 90.00°
Space group P-43m (No. 215)
Asymmetric unit:
Na (0.000, 0.000, 0.000) x1
Re (0.500, 0.500, 0.500) x1
Ag (0.000, 0.500, 0.500) x3
Te (0.269, 0.269, 0.269) x4



# 5
The following is a DFT calculation (PBE-GGA) of crystalline NaAgS at its relaxed geometry.

Properties
Uncorrected energy: -20.1 eV/cell

Cell: 4.137 4.137 7.078 Å, 90.00 90.00 90.00°
Space group P4/nmm (No. 129, origin choice 2)
Asymmetric unit:
Na (0.250, 0.250, 0.152) x2
Ag (0.250, 0.750, 0.500) x2
S (0.250, 0.250, 0.750) x2



# 6
The following is a DFT calculation (PBE-GGA) of crystalline NaAgS at its relaxed geometry.

Properties
Uncorrected energy: -40.6 eV/cell

Cell: 6.621 7.580 5.902 Å, 90.00 90.00 90.00°
Space group Cmme (No. 67)
Asymmetric unit:
Na (0.250, 0.000, 0.000) x4
Ag (0.250, 0.250, 0.500) x4
S (0.000, 0.250, 0.209) x4



# 7
The following is a DFT calculation (PBE-GGA) of crystalline NaTaAgSe2S at its relaxed geometry.

Properties
Uncorrected energy: -121.8 eV/cell

Cell: 3.673 13.999 9.935 Å, 90.00 90.00 90.00°
Space group Cmcm (No. 63)
Asymmetric unit:
Na (0.000, 0.245, 0.250) x4
Ta (0.000, 0.500, 0.000) x4
Ag (0.000, 0.052, 0.750) x4
Se (0.000, 0.136, 0.526) x8
S (0.000, 0.428, 0.750) x4



# 8
The following is a DFT calculation (PBE-GGA) of crystalline NaTaAgSeS2 at its relaxed geometry.

Properties
Uncorrected energy: -125.6 eV/cell

Cell: 3.565 13.952 10.065 Å, 90.00 90.00 90.00°
Space group Cmcm (No. 63)
Asymmetric unit:
Na (0.000, 0.244, 0.250) x4
Ta (0.000, 0.000, 0.000) x4
Ag (0.000, 0.443, 0.750) x4
Se (0.000, 0.086, 0.750) x4
S (0.000, 0.374, 0.531) x8



# 9
The following is a DFT calculation (PBE-GGA) of crystalline NaAgWSe2S at its relaxed geometry.

Properties
Uncorrected energy: -118.1 eV/cell

Cell: 3.595 13.981 9.806 Å, 90.00 90.00 90.00°
Space group Cmcm (No. 63)
Asymmetric unit:
Na (0.000, 0.247, 0.250) x4
Ag (0.000, 0.057, 0.750) x4
W (0.000, 0.500, 0.000) x4
Se (0.000, 0.135, 0.519) x8
S (0.000, 0.429, 0.750) x4



# 10
The following is a DFT calculation (PBE-GGA) of crystalline NaZrAgSeS2 at its relaxed geometry.

Properties
Offset from the most stable computed form: 22 meV per atom

Cell: 3.785 13.621 10.318 Å, 90.00 90.00 90.00°
Space group Cmcm (No. 63)
Asymmetric unit:
Na (0.000, 0.245, 0.250) x4
Zr (0.000, 0.000, 0.000) x4
Ag (0.000, 0.449, 0.750) x4
Se (0.000, 0.086, 0.750) x4
S (0.000, 0.371, 0.538) x8



# 11
The following is a DFT calculation (PBE-GGA) of crystalline NaZrAgSeS2 at its relaxed geometry.

Properties
Offset from the most stable computed form: 0 meV per atom

Cell: 7.642 3.865 9.524 Å, 90.00 105.04 90.00°
Space group P2_1/m (No. 11)
Asymmetric unit:
Na (0.239, 0.250, 0.189) x2
Zr (0.193, 0.750, 0.667) x2
Ag (0.424, 0.250, 0.896) x2
Se (0.076, 0.750, 0.361) x2
S (0.220, 0.750, 0.942) x2
S (0.402, 0.250, 0.633) x2



# 12
The following is a DFT calculation (PBE-GGA) of crystalline NaSiAgS3 at its relaxed geometry.

Properties
Uncorrected energy: -96.7 eV/cell

Cell: 3.382 14.013 9.907 Å, 90.00 90.00 90.00°
Space group Cmcm (No. 63)
Asymmetric unit:
Na (0.000, 0.197, 0.250) x4
Si (0.000, 0.500, 0.000) x4
Ag (0.000, 0.119, 0.750) x4
S (0.000, 0.116, 0.511) x8
S (0.000, 0.462, 0.750) x4